# 1
This record from Alexandria describes a geometry-optimized Y2HfNbSi structure. The functional is PBE.

Values from the calculation:
- total energy (eV for the cell shown) = -34.275
- volume (Å³/cell) = 136.9
- ΔE_f (raw) (eV per atom) = 0.82

a b c (Å): 5.272 5.272 4.925
angles (deg): 90.00 90.00 90.00
Space group P4/mmm (No. 123)
Unique sites:
Y  0.000  0.500  0.000 x2
Hf  0.000  0.000  0.500 x1
Nb  0.500  0.500  0.000 x1
Si  0.500  0.500  0.500 x1


# 2
This record from Alexandria describes a geometry-optimized SmHfNb4 structure. The functional is PBE.

Values from the calculation:
- total energy (eV for the cell shown) = -215.802
- volume (Å³/cell) = 507.4
- energy of formation (eV per atom) = 0.17

a b c (Å): 7.976 7.976 7.976
angles (deg): 90.00 90.00 90.00
Space group F-43m (No. 216)
Unique sites:
Sm  0.000  0.000  0.000 x4
Hf  0.250  0.250  0.750 x4
Nb  0.125  0.125  0.375 x16


# 3
This record from Alexandria describes a geometry-optimized HfNb2Sn2 structure. The functional is PBE.

Values from the calculation:
- total energy (eV for the cell shown) = -75.209
- energy above the lowest structure with this stoichiometry (meV per atom) = 222
- volume (Å³/cell) = 212.0
- energy of formation (eV per atom) = 0.10

a b c (Å): 8.265 8.265 3.104
angles (deg): 90.00 90.00 90.00
Space group P4/mbm (No. 127)
Unique sites:
Hf  0.000  0.000  0.000 x2
Nb  0.118  0.382  0.000 x4
Sn  0.179  0.679  0.500 x4


# 4
This record from Alexandria describes a geometry-optimized HfNbSn structure. The functional is PBE.

Values from the calculation:
- total energy (eV for the cell shown) = -48.357
- volume (Å³/cell) = 127.3
- energy of formation (eV per atom) = -0.05

a b c (Å): 3.736 3.736 9.120
angles (deg): 90.00 90.00 90.00
Space group P4/nmm (No. 129, origin choice 2)
Unique sites:
Hf  0.250  0.250  0.085 x2
Nb  0.250  0.250  0.752 x2
Sn  0.250  0.250  0.409 x2


# 5
This record from Alexandria describes a geometry-optimized HfNb3Sn2 structure. The functional is PBE.

Values from the calculation:
- total energy (eV for the cell shown) = -193.311
- energy above the lowest structure with this stoichiometry (meV per atom) = 0
- volume (Å³/cell) = 498.7
- energy of formation (eV per atom) = -0.03

a b c (Å): 15.748 4.550 7.491
angles (deg): 90.00 111.69 90.00
Space group C2/m (No. 12)
Unique sites:
Hf  0.110  0.000  0.195 x4
Nb  0.074  0.000  0.686 x4
Nb  0.109  0.500  0.506 x4
Nb  0.214  0.500  0.911 x4
Sn  0.031  0.500  0.851 x4
Sn  0.249  0.500  0.325 x4


# 6
This record from Alexandria describes a geometry-optimized Hf8NbSn2 structure. The functional is PBE.

Values from the calculation:
- total energy (eV for the cell shown) = -194.895
- volume (Å³/cell) = 498.3
- energy of formation (eV per atom) = 0.02

a b c (Å): 7.724 13.561 5.281
angles (deg): 90.00 115.75 90.00
Space group C2/m (No. 12)
Unique sites:
Hf  0.000  0.206  0.000 x4
Hf  0.107  0.500  0.798 x4
Hf  0.210  0.108  0.653 x8
Nb  0.000  0.000  0.000 x2
Sn  0.000  0.302  0.500 x4